CoBiPAu2, optimized geometry, DFT GGA-PBE; formation energy from the elements = 1.24 eV per formula unit; symmetry = No. 123; calculated total energy = -4.343 eV per atom
1.0
5.0196 0.0000 0.0000
0.0000 4.0492 0.0000
0.0000 0.0000 5.0196
Au Bi P Co
2 1 1 1
Direct
0.0000 0.0000 0.5000
0.5000 0.0000 0.0000
0.5000 0.5000 0.5000
0.0000 0.5000 0.0000
0.0000 0.0000 0.0000

Ba2CdBr, optimized geometry, DFT GGA-PBE; symmetry = No. 47; formation energy from raw total energies = -0.8921 eV/atom; excess energy over the best structure of this formula in the dataset = 11 meV/atom; calculated total energy = -2.501 eV per atom
1.0
-1.8987 2.4142 -6.3378
-4.6905 -1.2072 0.9453
-0.7605 4.4666 1.9293
Br Ba Cd
1 2 1
Direct
0.0000 0.3751 0.3750
0.5000 0.3749 0.3750
0.0000 0.8750 0.8750
0.5000 0.8749 0.8749

PmHoPuCd, optimized geometry, DFT GGA-PBE; formation energy from the elements = 0.29 eV per formula unit; symmetry = No. 216; calculated total energy = -6.071 eV per atom
1.0
-0.0419 5.3752 -0.8460
-3.2851 2.1343 -3.7766
-4.3134 2.9572 1.5031
Pu Pm Cd Ho
1 1 1 1
Direct
0.2500 0.2500 0.2500
0.5000 0.5000 0.5000
0.7500 0.7500 0.7500
0.0000 0.0000 0.0000

NaSrBe3, optimized geometry, DFT GGA-PBE; formation energy from the elements = 6.21 eV per formula unit; symmetry = No. 221; excess energy over the best structure of this formula in the dataset = 0 meV/atom; calculated total energy = -1.594 eV per atom
1.0
-4.2994 2.1770 0.3502
-2.1370 -4.3030 0.5140
0.5435 0.3025 4.7916
Be Na Sr
3 1 1
Direct
0.5000 0.0000 0.0000
0.0000 0.5000 0.0000
0.0000 0.0000 0.5000
0.0000 0.0000 0.0000
0.5000 0.5000 0.5000

Ac2AlSn3Pd4, optimized geometry, DFT GGA-PBE; formation energy from the elements = -8.23 eV per formula unit; symmetry = No. 115; calculated total energy = -5.296 eV per atom
1.0
4.6378 0.0000 0.0000
0.0000 4.6378 0.0000
0.0000 0.0000 10.8065
Pd Sn Al Ac
4 3 1 2
Direct
0.5000 0.0000 0.6234
0.0000 0.0000 0.0000
0.0000 0.5000 0.3766
0.5000 0.5000 0.0000
0.0000 0.0000 0.5000
0.0000 0.5000 0.1278
0.5000 0.0000 0.8722
0.5000 0.5000 0.5000
0.0000 0.5000 0.7516
0.5000 0.0000 0.2484

Sm3URu3, optimized geometry, DFT GGA-PBE; formation energy from the elements = -2.33 eV per formula unit; symmetry = No. 63; calculated total energy = -7.943 eV per atom
1.0
-2.0111 -3.6382 -0.2357
5.8047 -0.9070 1.2474
-2.8304 0.6793 13.6647
Sm Ru U
6 6 2
Direct
0.4984 0.9968 0.7500
0.2182 0.4364 0.8852
0.2182 0.4364 0.6148
0.7818 0.5636 0.1148
0.7818 0.5636 0.3852
0.5016 0.0032 0.2500
0.1989 0.3978 0.2500
0.9324 0.8648 0.9144
0.0676 0.1352 0.4144
0.0676 0.1352 0.0856
0.9324 0.8648 0.5856
0.8011 0.6022 0.7500
0.5000 0.0000 0.5000
0.5000 0.0000 0.0000

Li3PPd3, optimized geometry, DFT GGA-PBE; formation energy from the elements = -3.54 eV per formula unit; symmetry = No. 176; calculated total energy = -4.325 eV per atom
1.0
4.4648 0.0000 0.0000
0.0000 7.0335 0.0000
0.0000 -3.5167 6.0912
Li P Pd
6 2 6
Direct
0.2500 0.5093 0.8986
0.7500 0.8986 0.3893
0.2500 0.1014 0.6107
0.7500 0.4907 0.1014
0.7500 0.6107 0.5093
0.2500 0.3893 0.4907
0.7500 0.3333 0.6667
0.2500 0.6667 0.3333
0.2500 0.2730 0.0940
0.7500 0.7270 0.9060
0.2500 0.8210 0.7270
0.7500 0.1790 0.2730
0.7500 0.0940 0.8210
0.2500 0.9060 0.1790